A geometry-optimized Sr2Zn3Ga4Si structure, computed with PBE-GGA.

Cell lengths 4.366, 4.366, 10.906 Å; angles 90.00, 90.00, 90.00 degrees
Fractional positions:
Sr 0.000 0.500 0.246
Sr 0.500 0.000 0.754
Zn 0.000 0.000 0.000
Zn 0.000 0.500 0.636
Zn 0.500 0.000 0.364
Ga 0.000 0.000 0.500
Ga 0.000 0.500 0.868
Ga 0.500 0.000 0.132
Ga 0.500 0.500 0.500
Si 0.500 0.500 0.000

Computed properties:
Its space group is P-4m2, No. 115. The value obtained for the uncorrected formation energy is -323 kJ/mol of formula units. The value obtained for the calculated volume is 20.8 Å³ per atom. As for the total energy: -2.806 eV/atom.